ZnPtF: optimized geometry, PBE.

```
6
Lattice="2.8471 0.0000 0.0000 -1.4235 2.4670 0.0000 0.0000 0.0000 13.3329" Properties=species:S:1:pos:R:3 pbc="T T T"
Zn 1.4235 0.1003 0.0000
Zn 0.0000 1.8176 6.6664
Pt 1.4235 0.9958 4.6369
Pt 1.4235 0.9958 8.6960
F 0.0000 0.9233 12.0906
F 0.0000 0.9233 1.2423
```

total energy	-24.590	eV per cell
energy above the lowest structure with this stoichiometry	168	meV per atom
energy relative to the elements, uncorrected	-1.036	eV per atom
M_tot	0.00	μB per formula unit
calculated volume	94	Å³/cell
N(E_F)	2.54	states/eV/cell